1.
Al3V | PBE | relaxed

Output
density of states at the Fermi level = 0.603 states/eV per atom
magnetic moment = 0.0 μB/f.u.
symmetry = No. 139
ΔH_f (0 K) = -0.2112 eV per atom

Unit cell a=8.603 b=8.603 c=8.603 alpha=154.45 beta=154.45 gamma=36.45
Sites, in units of the cell vectors:
Al (0.000, 0.500, 0.500)
Al (0.123, 0.123, 0.000)
Al (0.250, 0.750, 0.500)
Al (0.500, 0.000, 0.500)
Al (0.750, 0.250, 0.500)
Al (0.877, 0.877, 0.000)
V (0.376, 0.376, 0.000)
V (0.624, 0.624, 0.000)

2.
Al6V | PBE | relaxed

Output
density of states at the Fermi level = 1.523 states/eV per atom
magnetic moment = 3.6 μB/f.u.
symmetry = No. 229
E above lowest polymorph = 1137 meV per atom
ΔH_f (0 K) = 1.0695 eV per atom

Unit cell a=6.257 b=6.257 c=6.257 alpha=109.47 beta=109.47 gamma=109.47
Sites, in units of the cell vectors:
Al (0.250, 0.500, 0.750)
Al (0.250, 0.750, 0.500)
Al (0.500, 0.250, 0.750)
Al (0.500, 0.750, 0.250)
Al (0.750, 0.250, 0.500)
Al (0.750, 0.500, 0.250)
V (0.000, 0.000, 0.000)

3.
AlV2 | PBE | relaxed

Output
density of states at the Fermi level = 0.854 states/eV per atom
magnetic moment = 0.0 μB/f.u.
symmetry = No. 69
ΔH_f (0 K) = -0.1502 eV per atom

Unit cell a=6.674 b=6.537 c=2.624 alpha=81.49 beta=75.63 gamma=22.89
Sites, in units of the cell vectors:
Al (0.000, 0.000, 0.000)
V (0.330, 0.330, 0.670)
V (0.670, 0.670, 0.330)

4.
Al2V5 | PBE | relaxed

Output
density of states at the Fermi level = 1.220 states/eV per atom
magnetic moment = 0.0 μB/f.u.
symmetry = No. 12
ΔH_f (0 K) = -0.1443 eV per atom

Unit cell a=4.897 b=4.897 c=6.740 alpha=96.96 beta=96.96 gamma=37.90
Sites, in units of the cell vectors:
Al (0.079, 0.079, 0.215)
Al (0.921, 0.921, 0.785)
V (0.198, 0.198, 0.633)
V (0.348, 0.348, 0.078)
V (0.500, 0.500, 0.500)
V (0.652, 0.652, 0.922)
V (0.802, 0.802, 0.367)

5.
Al10V | PBE | relaxed

Output
density of states at the Fermi level = 0.431 states/eV per atom
magnetic moment = 0.0 μB/f.u.
symmetry = No. 227
ΔH_f (0 K) = -0.0959 eV per atom

Unit cell a=10.220 b=10.220 c=10.220 alpha=60.00 beta=60.00 gamma=60.00
Sites, in units of the cell vectors:
Al (0.000, 0.000, 0.000)
Al (0.000, 0.000, 0.500)
Al (0.000, 0.500, 0.000)
Al (0.058, 0.322, 0.322)
Al (0.058, 0.322, 0.797)
Al (0.058, 0.797, 0.322)
Al (0.203, 0.678, 0.678)
Al (0.203, 0.678, 0.942)
Al (0.203, 0.942, 0.678)
Al (0.235, 0.235, 0.515)
Al (0.235, 0.515, 0.235)
Al (0.235, 0.515, 0.515)
Al (0.322, 0.058, 0.322)
Al (0.322, 0.058, 0.797)
Al (0.322, 0.322, 0.058)
Al (0.322, 0.322, 0.797)
Al (0.322, 0.797, 0.058)
Al (0.322, 0.797, 0.322)
Al (0.485, 0.485, 0.765)
Al (0.485, 0.765, 0.485)
Al (0.485, 0.765, 0.765)
Al (0.500, 0.000, 0.000)
Al (0.515, 0.235, 0.235)
Al (0.515, 0.235, 0.515)
Al (0.515, 0.515, 0.235)
Al (0.678, 0.203, 0.678)
Al (0.678, 0.203, 0.942)
Al (0.678, 0.678, 0.203)
Al (0.678, 0.678, 0.942)
Al (0.678, 0.942, 0.203)
Al (0.678, 0.942, 0.678)
Al (0.765, 0.485, 0.485)
Al (0.765, 0.485, 0.765)
Al (0.765, 0.765, 0.485)
Al (0.797, 0.058, 0.322)
Al (0.797, 0.322, 0.058)
Al (0.797, 0.322, 0.322)
Al (0.942, 0.203, 0.678)
Al (0.942, 0.678, 0.203)
Al (0.942, 0.678, 0.678)
V (0.000, 0.500, 0.500)
V (0.500, 0.000, 0.500)
V (0.500, 0.500, 0.000)
V (0.500, 0.500, 0.500)

6.
Al2V13 | PBE | relaxed

Output
density of states at the Fermi level = 1.335 states/eV per atom
magnetic moment = 0.0 μB/f.u.
symmetry = No. 166
ΔH_f (0 K) = 0.3535 eV per atom

Unit cell a=6.697 b=6.697 c=6.697 alpha=61.49 beta=61.49 gamma=61.49
Sites, in units of the cell vectors:
Al (0.151, 0.151, 0.151)
Al (0.849, 0.849, 0.849)
V (0.000, 0.000, 0.000)
V (0.142, 0.142, 0.550)
V (0.142, 0.550, 0.142)
V (0.311, 0.311, 0.678)
V (0.311, 0.678, 0.311)
V (0.322, 0.689, 0.689)
V (0.450, 0.858, 0.858)
V (0.550, 0.142, 0.142)
V (0.678, 0.311, 0.311)
V (0.689, 0.322, 0.689)
V (0.689, 0.689, 0.322)
V (0.858, 0.450, 0.858)
V (0.858, 0.858, 0.450)

7.
Al4V | PBE | relaxed

Output
density of states at the Fermi level = 0.506 states/eV per atom
magnetic moment = 2.9 μB/f.u.
symmetry = No. 139
E above lowest polymorph = 540 meV per atom
ΔH_f (0 K) = 0.5532 eV per atom

Unit cell a=5.222 b=5.222 c=5.222 alpha=121.53 beta=121.53 gamma=87.37
Sites, in units of the cell vectors:
Al (0.160, 0.160, 0.000)
Al (0.250, 0.750, 0.500)
Al (0.750, 0.250, 0.500)
Al (0.840, 0.840, 0.000)
V (0.500, 0.500, 0.000)

8.
Al7V3 | PBE | relaxed

Output
density of states at the Fermi level = 0.624 states/eV per atom
magnetic moment = 0.0 μB/f.u.
symmetry = No. 12
ΔH_f (0 K) = -0.2138 eV per atom

Unit cell a=7.302 b=7.302 c=5.569 alpha=98.82 beta=98.82 gamma=30.12
Sites, in units of the cell vectors:
Al (0.000, 0.000, 0.000)
Al (0.205, 0.205, 0.608)
Al (0.393, 0.393, 0.197)
Al (0.403, 0.403, 0.698)
Al (0.597, 0.597, 0.302)
Al (0.607, 0.607, 0.803)
Al (0.795, 0.795, 0.392)
V (0.000, 0.000, 0.500)
V (0.192, 0.192, 0.106)
V (0.808, 0.808, 0.894)

9.
Al8V5 | PBE | relaxed

Output
density of states at the Fermi level = 0.436 states/eV per atom
magnetic moment = 0.0 μB/f.u.
symmetry = No. 8
E above lowest polymorph = 0 meV per atom
ΔH_f (0 K) = -0.2242 eV per atom

Unit cell a=8.001 b=8.001 c=7.925 alpha=108.77 beta=108.77 gamma=110.32
Sites, in units of the cell vectors:
Al (0.000, 0.000, 0.000)
Al (0.007, 0.653, 0.753)
Al (0.009, 0.009, 0.397)
Al (0.012, 0.273, 0.749)
Al (0.043, 0.399, 0.134)
Al (0.273, 0.012, 0.749)
Al (0.298, 0.646, 0.662)
Al (0.299, 0.299, 0.398)
Al (0.305, 0.894, 0.384)
Al (0.399, 0.043, 0.134)
Al (0.407, 0.407, 0.812)
Al (0.646, 0.298, 0.662)
Al (0.646, 0.914, 0.046)
Al (0.653, 0.007, 0.753)
Al (0.894, 0.305, 0.384)
Al (0.914, 0.646, 0.046)
V (0.311, 0.652, 0.044)
V (0.314, 0.314, 0.066)
V (0.453, 0.651, 0.403)
V (0.651, 0.453, 0.403)
V (0.652, 0.311, 0.044)
V (0.652, 0.652, 0.733)
V (0.661, 0.661, 0.203)
V (0.663, 0.994, 0.406)
V (0.865, 0.865, 0.606)
V (0.994, 0.663, 0.406)

10.
Al3V4 | PBE | relaxed

Output
density of states at the Fermi level = 0.554 states/eV per atom
magnetic moment = 0.0 μB/f.u.
symmetry = No. 139
ΔH_f (0 K) = -0.2020 eV per atom

Unit cell a=10.396 b=10.396 c=10.396 alpha=162.55 beta=162.55 gamma=24.78
Sites, in units of the cell vectors:
Al (0.000, 0.000, 0.000)
Al (0.289, 0.289, 0.000)
Al (0.711, 0.711, 0.000)
V (0.135, 0.135, 0.000)
V (0.421, 0.421, 0.000)
V (0.579, 0.579, 0.000)
V (0.865, 0.865, 0.000)

11.
AlV7 | PBE | relaxed

Output
density of states at the Fermi level = 1.374 states/eV per atom
magnetic moment = 0.0 μB/f.u.
symmetry = No. 166
ΔH_f (0 K) = -0.0604 eV per atom

Unit cell a=6.032 b=6.032 c=6.032 alpha=90.19 beta=90.19 gamma=90.19
Sites, in units of the cell vectors:
Al (0.128, 0.128, 0.128)
Al (0.872, 0.872, 0.872)
V (0.131, 0.131, 0.622)
V (0.131, 0.621, 0.621)
V (0.131, 0.622, 0.131)
V (0.378, 0.869, 0.869)
V (0.379, 0.379, 0.379)
V (0.379, 0.379, 0.869)
V (0.379, 0.869, 0.379)
V (0.621, 0.131, 0.621)
V (0.621, 0.621, 0.131)
V (0.621, 0.621, 0.621)
V (0.622, 0.131, 0.131)
V (0.869, 0.378, 0.869)
V (0.869, 0.379, 0.379)
V (0.869, 0.869, 0.378)